[1]
A plane-wave DFT calculation with PBE was carried out for HfSiH3 after structural relaxation.

Output
- Space-group type: Pm-3m
- Density of states at the Fermi level: 3.17 states/eV/f.u.
- Total magnetization: 0.00 μB per atom

a = 3.5089 Å, b = 3.5089 Å, c = 3.5089 Å
α = 90.00°, β = 90.00°, γ = 90.00°
With the nearest neighbours (Å) after each atom.
Fractional coordinates of all 5 atoms:
1 Hf 0.5000 0.5000 0.5000  12 H 2.48
2 Si 0.0000 0.0000 0.0000  6 H 1.75
3 H 0.0000 0.5000 0.0000  2 Si 1.75
4 H 0.0000 0.0000 0.5000  2 Si 1.75
5 H 0.5000 0.0000 0.0000  2 Si 1.75

---

[2]
A plane-wave DFT calculation with PBE was carried out for KCaFe after structural relaxation.

Output
- Formation energy: 1.326 eV per atom
- Space-group type: F-43m
- Density of states at the Fermi level: 3.27 states/eV/f.u.
- Total magnetization: 0.92 μB per atom

a = 5.3755 Å, b = 5.3755 Å, c = 5.3755 Å
α = 60.00°, β = 60.00°, γ = 60.00°
With the nearest neighbours (Å) after each atom.
Fractional coordinates of all 3 atoms:
1 Ca 0.0000 0.0000 0.0000  4 K 3.29
2 Fe 0.5000 0.5000 0.5000  4 K 3.29
3 K 0.7500 0.7500 0.7500  4 Ca 3.29, 4 Fe 3.29

---

[3]
A plane-wave DFT calculation with PBE was carried out for CsSiTe4Pb after structural relaxation.

Output
- Formation energy from raw total energies: -275 kJ/mol of formula units
- Space-group type: P2_1/m
- Density of states at the Fermi level: 1.54 states/eV/f.u.
- Total magnetization: 0.00 μB per atom

a = 7.9473 Å, b = 6.7220 Å, c = 10.9483 Å
α = 90.00°, β = 104.46°, γ = 90.00°
With the nearest neighbours (Å) after each atom.
Fractional coordinates of all 14 atoms:
1 Cs 0.7494 0.7500 0.9490  7 Te 3.84-4.04
2 Cs 0.2506 0.2500 0.0510  7 Te 3.84-4.04
3 Te 0.4413 0.7500 0.1902  1 Si 2.51
4 Te 0.0089 0.9912 0.7213  1 Si 2.55
5 Te 0.0089 0.5088 0.7213  1 Si 2.55
6 Te 0.6115 0.2500 0.4408  1 Si 2.51
7 Te 0.5587 0.2500 0.8098  1 Si 2.51
8 Te 0.3885 0.7500 0.5592  1 Si 2.51
9 Te 0.9911 0.4912 0.2787  1 Si 2.55
10 Te 0.9911 0.0088 0.2787  1 Si 2.55
11 Si 0.7671 0.2500 0.6709  4 Te 2.51-2.55
12 Si 0.2329 0.7500 0.3291  4 Te 2.51-2.55
13 Pb 0.7308 0.7500 0.4455  4 Te 3.15-3.49
14 Pb 0.2692 0.2500 0.5545  4 Te 3.15-3.49

---

[4]
A plane-wave DFT calculation with PBE was carried out for Zr2MoW after structural relaxation.

Output
- Formation energy: 0.029 eV per atom
- Space-group type: P4mm
- Density of states at the Fermi level: 4.45 states/eV/f.u.
- Total magnetization: 0.00 μB per atom

a = 3.2339 Å, b = 3.2339 Å, c = 7.3374 Å
α = 90.00°, β = 90.00°, γ = 90.00°
With the nearest neighbours (Å) after each atom.
Fractional coordinates of all 4 atoms:
1 Zr 0.0000 0.0000 0.9775  4 W 2.96, 8 Zr 3.17-3.23, 1 Mo 3.31
2 Zr 0.5000 0.5000 0.2758  4 Mo 2.93, 8 Zr 3.17-3.23, 1 W 3.26
3 Mo 0.0000 0.0000 0.5261  4 W 2.69, 4 Zr 2.93
4 W 0.5000 0.5000 0.7205  4 Mo 2.69, 4 Zr 2.96

---

[5]
A plane-wave DFT calculation with PBE was carried out for PaBe2Pt after structural relaxation.

Output
- Formation energy: 0.427 eV per atom
- Space-group type: R-3m
- Density of states at the Fermi level: 3.44 states/eV/f.u.
- Total magnetization: 0.00 μB per atom

a = 2.8545 Å, b = 2.8545 Å, c = 9.4727 Å
α = 81.33°, β = 81.33°, γ = 60.00°
With the nearest neighbours (Å) after each atom.
Fractional coordinates of all 4 atoms:
1 Be 0.0798 0.0798 0.7606  1 Pt 2.23
2 Be 0.9202 0.9202 0.2394  1 Pt 2.23
3 Pa 0.5000 0.5000 0.5000  6 Pa 2.85, 6 Be 2.94
4 Pt 0.0000 0.0000 0.0000  2 Be 2.23

---

[6]
A plane-wave DFT calculation with PBE was carried out for SrCrPt2 after structural relaxation.

Output
- Formation energy: -0.331 eV per atom
- Space-group type: R3m
- Density of states at the Fermi level: 1.85 states/eV/f.u.
- Total magnetization: 0.76 μB per atom

a = 6.1002 Å, b = 6.1002 Å, c = 6.1002 Å
α = 42.06°, β = 42.06°, γ = 42.06°
With the nearest neighbours (Å) after each atom.
Fractional coordinates of all 4 atoms:
1 Pt 0.0305 0.0305 0.0305  3 Cr 2.55, 3 Pt 2.75
2 Pt 0.2983 0.2983 0.2983  3 Cr 2.65, 3 Pt 2.75
3 Cr 0.6789 0.6789 0.6789  6 Pt 2.55-2.65
4 Sr 0.4923 0.4923 0.4923  1 Cr 3.11, 7 Pt 3.23-3.43

---

[7]
A plane-wave DFT calculation with PBE was carried out for TlAsHOs2 after structural relaxation.

Output
- Space-group type: P4/mmm
- Density of states at the Fermi level: 3.86 states/eV/f.u.
- Total magnetization: 0.00 μB per atom

a = 4.8129 Å, b = 3.3142 Å, c = 4.8129 Å
α = 90.00°, β = 90.00°, γ = 90.00°
With the nearest neighbours (Å) after each atom.
Fractional coordinates of all 5 atoms:
1 Os 0.5000 0.0000 0.0000  2 As 2.41
2 Os 0.0000 0.0000 0.5000  2 As 2.41
3 Tl 0.5000 0.5000 0.5000  8 Os 2.92
4 H 0.0000 0.5000 0.0000  2 As 1.66
5 As 0.0000 0.0000 0.0000  2 H 1.66

---

[8]
A plane-wave DFT calculation with PBE was carried out for TcBS2Cl after structural relaxation.

Output
- Formation energy from raw total energies: 479 kJ/mol of formula units
- Space-group type: P4/mmm
- Density of states at the Fermi level: 3.04 states/eV/f.u.
- Total magnetization: 0.00 μB per atom

a = 4.1201 Å, b = 4.1201 Å, c = 4.1250 Å
α = 90.00°, β = 90.00°, γ = 90.00°
With the nearest neighbours (Å) after each atom.
Fractional coordinates of all 5 atoms:
1 S 0.0000 0.5000 0.0000  2 B 2.06
2 S 0.5000 0.0000 0.0000  2 B 2.06
3 B 0.0000 0.0000 0.0000  4 S 2.06, 2 Cl 2.06
4 Tc 0.5000 0.5000 0.5000  4 Cl 2.91, 8 S 2.92
5 Cl 0.0000 0.0000 0.5000  2 B 2.06

---

[9]
A plane-wave DFT calculation with PBE was carried out for PmTmPd2 after structural relaxation.

Output
- Formation energy: -0.840 eV per atom
- Space-group type: Fm-3m
- Density of states at the Fermi level: 3.79 states/eV/f.u.
- Total magnetization: 0.00 μB per atom

a = 5.0034 Å, b = 5.0034 Å, c = 5.0034 Å
α = 60.00°, β = 60.00°, γ = 60.00°
With the nearest neighbours (Å) after each atom.
Fractional coordinates of all 4 atoms:
1 Tm 0.0000 0.0000 0.0000  8 Pd 3.06
2 Pm 0.5000 0.5000 0.5000  8 Pd 3.06
3 Pd 0.2500 0.2500 0.2500  4 Pm 3.06, 4 Tm 3.06
4 Pd 0.7500 0.7500 0.7500  4 Pm 3.06, 4 Tm 3.06

---

[10]
A plane-wave DFT calculation with PBE was carried out for PrMgHgPd after structural relaxation.

Output
- Formation energy: -0.533 eV per atom
- Space-group type: F-43m
- Density of states at the Fermi level: 2.76 states/eV/f.u.
- Total magnetization: 0.00 μB per atom

a = 5.0618 Å, b = 5.0618 Å, c = 5.0618 Å
α = 60.00°, β = 60.00°, γ = 60.00°
With the nearest neighbours (Å) after each atom.
Fractional coordinates of all 4 atoms:
1 Hg 0.5000 0.5000 0.5000  4 Pr 3.10, 4 Mg 3.10
2 Pr 0.2500 0.2500 0.2500  4 Hg 3.10, 4 Pd 3.10
3 Mg 0.7500 0.7500 0.7500  4 Hg 3.10, 4 Pd 3.10
4 Pd 0.0000 0.0000 0.0000  4 Pr 3.10, 4 Mg 3.10

---

[11]
A plane-wave DFT calculation with PBE was carried out for Ag2WAu after structural relaxation.

Output
- Formation energy: 0.680 eV per atom
- Space-group type: P4/mmm
- Density of states at the Fermi level: 2.28 states/eV/f.u.
- Total magnetization: 0.00 μB per atom

a = 5.0528 Å, b = 5.0528 Å, c = 2.7584 Å
α = 90.00°, β = 90.00°, γ = 90.00°
With the nearest neighbours (Å) after each atom.
Fractional coordinates of all 4 atoms:
1 Au 0.5000 0.0000 0.5000  2 Au 2.76, 8 Ag 2.88
2 Ag 0.5000 0.5000 0.0000  2 Ag 2.76, 4 W 2.88, 4 Au 2.88
3 Ag 0.0000 0.0000 0.0000  2 Ag 2.76, 4 W 2.88, 4 Au 2.88
4 W 0.0000 0.5000 0.5000  2 W 2.76, 8 Ag 2.88

---

[12]
A plane-wave DFT calculation with PBE was carried out for Nb2AgPdI after structural relaxation.

Output
- Formation energy from raw total energies: 803 kJ/mol of formula units
- Space-group type: P4/mmm
- Density of states at the Fermi level: 5.67 states/eV/f.u.
- Total magnetization: 0.00 μB per atom

a = 5.0139 Å, b = 5.0759 Å, c = 5.0139 Å
α = 90.00°, β = 90.00°, γ = 90.00°
With the nearest neighbours (Å) after each atom.
Fractional coordinates of all 5 atoms:
1 Ag 0.0000 0.5000 0.0000  2 I 2.54
2 Pd 0.5000 0.5000 0.5000  4 Ag 3.55, 8 Nb 3.57
3 Nb 0.0000 0.0000 0.5000  2 I 2.51
4 Nb 0.5000 0.0000 0.0000  2 I 2.51
5 I 0.0000 0.0000 0.0000  4 Nb 2.51, 2 Ag 2.54

---

[13]
A plane-wave DFT calculation with PBE was carried out for Sc2Co2Pt after structural relaxation.

Output
- Formation energy: -0.572 eV per atom
- Space-group type: P4/mbm
- Density of states at the Fermi level: 3.68 states/eV/f.u.
- Total magnetization: 0.00 μB per atom

a = 6.5239 Å, b = 6.5239 Å, c = 3.6679 Å
α = 90.00°, β = 90.00°, γ = 90.00°
With the nearest neighbours (Å) after each atom.
Fractional coordinates of all 10 atoms:
1 Co 0.8787 0.6213 0.0000  1 Co 2.24
2 Co 0.1213 0.3787 0.0000  1 Co 2.24
3 Co 0.6213 0.1213 0.0000  1 Co 2.24
4 Co 0.3787 0.8787 0.0000  1 Co 2.24
5 Pt 0.5000 0.5000 0.0000  4 Co 2.59
6 Pt 0.0000 0.0000 0.0000  4 Co 2.59
7 Sc 0.3175 0.1825 0.5000  6 Co 2.58-2.73
8 Sc 0.8175 0.3175 0.5000  6 Co 2.58-2.73
9 Sc 0.1825 0.6825 0.5000  6 Co 2.58-2.73
10 Sc 0.6825 0.8175 0.5000  6 Co 2.58-2.73

---

[14]
A plane-wave DFT calculation with PBE was carried out for KSnPt4 after structural relaxation.

Output
- Formation energy: -0.205 eV per atom
- Space-group type: F-43m
- Density of states at the Fermi level: 3.47 states/eV/f.u.
- Total magnetization: 0.00 μB per atom

a = 5.4670 Å, b = 5.4670 Å, c = 5.4670 Å
α = 60.00°, β = 60.00°, γ = 60.00°
With the nearest neighbours (Å) after each atom.
Fractional coordinates of all 6 atoms:
1 Pt 0.6254 0.1239 0.6254  6 Pt 2.73-2.74
2 Pt 0.6254 0.6254 0.6254  6 Pt 2.73-2.74
3 Pt 0.6254 0.6254 0.1239  6 Pt 2.73-2.74
4 Pt 0.1239 0.6254 0.6254  6 Pt 2.73-2.74
5 K 0.2500 0.2500 0.2500  12 Pt 3.21, 4 Sn 3.35
6 Sn 0.0000 0.0000 0.0000  12 Pt 3.20, 4 K 3.35

---

[15]
A plane-wave DFT calculation with PBE was carried out for RbTiGa after structural relaxation.

Output
- Formation energy: 0.379 eV per atom
- Space-group type: P1
- Density of states at the Fermi level: 1.41 states/eV/f.u.
- Total magnetization: 0.33 μB per atom

a = 5.9206 Å, b = 3.8585 Å, c = 8.8700 Å
α = 102.57°, β = 107.78°, γ = 90.01°
With the nearest neighbours (Å) after each atom.
Fractional coordinates of all 6 atoms:
1 Rb 0.4033 0.1409 0.4573  2 Ti 3.51-3.64, 2 Rb 3.86
2 Rb 0.7901 0.5152 0.2082  4 Ga 3.34-3.70
3 Ga 0.1963 0.4176 0.0143  3 Ti 2.59-2.66, 2 Ga 2.87
4 Ga 0.8410 0.8383 0.8558  3 Ti 2.69-2.85, 2 Ga 2.87
5 Ti 0.0021 0.2609 0.7010  3 Ga 2.59-2.69, 2 Ti 2.69
6 Ti 0.3156 0.8322 0.8433  3 Ga 2.66-2.85, 2 Ti 2.69

---

[16]
A plane-wave DFT calculation with PBE was carried out for Sc2Ge2Sb after structural relaxation.

Output
- Formation energy from raw total energies: -261 kJ/mol of formula units
- Space-group type: P4/mbm
- Density of states at the Fermi level: 1.95 states/eV/f.u.
- Total magnetization: 0.00 μB per atom

a = 7.3631 Å, b = 7.3631 Å, c = 3.8662 Å
α = 90.00°, β = 90.00°, γ = 90.00°
With the nearest neighbours (Å) after each atom.
Fractional coordinates of all 10 atoms:
1 Ge 0.8779 0.6221 0.0000  1 Ge 2.54, 2 Sc 2.85
2 Ge 0.6221 0.1221 0.0000  1 Ge 2.54, 2 Sc 2.85
3 Ge 0.3779 0.8779 0.0000  1 Ge 2.54, 2 Sc 2.85
4 Ge 0.1221 0.3779 0.0000  1 Ge 2.54, 2 Sc 2.85
5 Sc 0.3227 0.1773 0.5000  6 Ge 2.85-2.96
6 Sc 0.8227 0.3227 0.5000  6 Ge 2.85-2.96
7 Sc 0.1773 0.6773 0.5000  6 Ge 2.85-2.96
8 Sc 0.6773 0.8227 0.5000  6 Ge 2.85-2.96
9 Sb 0.5000 0.5000 0.0000  4 Ge 2.92
10 Sb 0.0000 0.0000 0.0000  4 Ge 2.92

---

[17]
A plane-wave DFT calculation with PBE was carried out for Ba4NaPa3N8 after structural relaxation.

Output
- Formation energy from raw total energies: -1568 kJ/mol of formula units
- Space-group type: R-3m
- Density of states at the Fermi level: 1.96 states/eV/f.u.
- Total magnetization: 0.00 μB per atom

a = 7.3859 Å, b = 7.6291 Å, c = 7.3861 Å
α = 118.96°, β = 120.00°, γ = 90.00°
With the nearest neighbours (Å) after each atom.
Fractional coordinates of all 16 atoms:
1 N 0.2488 0.6836 0.9349  2 Pa 2.32
2 N 0.2487 0.6836 0.4974  2 Pa 2.32
3 N 0.7317 0.6951 0.4635  3 Pa 2.46
4 N 0.3138 0.3164 0.0651  2 Pa 2.32
5 N 0.7512 0.3164 0.0651  2 Pa 2.32
6 N 0.2683 0.3049 0.5365  3 Pa 2.46
7 N 0.6862 0.6836 0.9349  2 Pa 2.32
8 N 0.7513 0.3164 0.5026  2 Pa 2.32
9 Pa 0.5000 0.5000 0.5000  6 N 2.32-2.46
10 Pa 0.0000 0.5000 0.5000  6 N 2.32-2.46
11 Pa 0.5000 0.5000 0.0000  6 N 2.32-2.46
12 Ba 0.0000 0.0000 0.0000  6 N 2.87-3.03
13 Ba 0.0000 0.0000 0.5000  6 N 2.88-3.03
14 Ba 0.5000 0.0000 0.5000  6 N 2.88-3.03
15 Ba 0.5000 0.0000 0.0000  6 N 2.74
16 Na 0.0000 0.5000 0.0000  6 N 2.67

---

[18]
A plane-wave DFT calculation with PBE was carried out for Ce3Al2Cu4 after structural relaxation.

Output
- Formation energy: -0.240 eV per atom
- Space-group type: C2/m
- Density of states at the Fermi level: 15.26 states/eV/f.u.
- Total magnetization: 0.18 μB per atom

a = 4.4211 Å, b = 5.7757 Å, c = 8.3110 Å
α = 113.09°, β = 90.00°, γ = 112.50°
With the nearest neighbours (Å) after each atom.
Fractional coordinates of all 9 atoms:
1 Al 0.3422 0.6845 0.6835  4 Cu 2.53-2.68
2 Al 0.6578 0.3155 0.3165  4 Cu 2.53-2.68
3 Ce 0.3698 0.7397 0.3275  7 Cu 2.94-3.07, 1 Ce 3.03, 4 Al 3.10-3.14
4 Ce 0.6302 0.2603 0.6725  7 Cu 2.94-3.07, 1 Ce 3.03, 4 Al 3.10-3.14
5 Ce 0.0000 0.0000 0.0000  8 Cu 3.15-3.17, 4 Al 3.30
6 Cu 0.2741 0.5482 0.9397  1 Al 2.53, 2 Cu 2.57
7 Cu 0.0889 0.1778 0.4136  3 Al 2.57-2.68, 1 Cu 2.82
8 Cu 0.9111 0.8222 0.5864  3 Al 2.57-2.68, 1 Cu 2.82
9 Cu 0.7259 0.4518 0.0603  1 Al 2.53, 2 Cu 2.57

---

Ordered final energy results: -4.6472, -2.5282, -3.6288, -10.1914, -5.3204, -6.1779, -5.5058, -4.4366, -5.7420, -3.5001, -4.8029, -4.2826, -7.1555, -5.0821, -3.5844, -5.7441, -7.5223, -4.8706; unit eV per atom.